1.
Here is SiPbCl2 after structural relaxation from the Alexandria database. Energies are from PBE.

The structure in POSCAR format:
```
SiPbCl2
1.0
5.768 0.000 0.005
4.640 3.426 0.005
2.658 0.875 4.881
Cl Pb Si
2 1 1
Direct
0.948 0.948 0.049
0.552 0.552 0.451
0.750 0.750 0.750
0.250 0.250 0.250
```

Values from the calculation:
For the density, the calculation gives 5.3 g/cm³. The density of states at the Fermi level comes out at 0.186 states/eV per atom. For the formation energy (no corrections), the calculation gives -0.25 eV per atom.

2.
Here is LiGdLuTl after structural relaxation from the Alexandria database. Energies are from PBE.

The structure in POSCAR format:
```
LiGdLuTl
1.0
-4.999 0.534 -1.522
-3.334 -4.032 0.470
-3.834 0.166 3.587
Gd Tl Lu Li
1 1 1 1
Direct
0.250 0.250 0.250
0.500 0.500 0.500
0.750 0.750 0.750
0.000 0.000 0.000
```

Values from the calculation:
For the density, the calculation gives 8.8 g/cm³. The density of states at the Fermi level comes out at 0.902 states/eV per atom. The energy relative to the elements is -0.184 eV per atom.

3.
Here is RbHfCdRh2 after structural relaxation from the Alexandria database. Energies are from PBE.

The structure in POSCAR format:
```
RbHfCdRh2
1.0
-4.724 1.674 1.094
-1.625 -4.879 0.445
1.178 0.063 4.992
Rh Hf Rb Cd
2 1 1 1
Direct
0.000 0.000 0.500
0.500 0.000 0.000
0.000 0.500 0.000
0.500 0.500 0.500
0.000 0.000 0.000
```

Values from the calculation:
For the density, the calculation gives 7.1 g/cm³. The density of states at the Fermi level comes out at 1.091 states/eV per atom. The energy relative to the elements is 1.307 eV per atom.

4.
Here is Th4Bi2H after structural relaxation from the Alexandria database. Energies are from PBE.

The structure in POSCAR format:
```
Th4Bi2H
1.0
-1.733 -3.612 -2.561
2.087 -3.092 2.948
-7.288 3.261 4.746
H Bi Th
1 2 4
Direct
0.000 0.000 0.000
0.642 0.642 0.284
0.358 0.358 0.716
0.832 0.832 0.663
0.168 0.168 0.337
0.000 0.500 0.000
0.500 0.000 0.000
```

Values from the calculation:
The calculation puts the total energy at -6.234 eV per atom. For the density, the calculation gives 11.4 g/cm³. The density of states at the Fermi level comes out at 0.772 states/eV per atom.

5.
Here is Li2MgP2 after structural relaxation from the Alexandria database. Energies are from PBE.

The structure in POSCAR format:
```
Li2MgP2
1.0
3.887 0.000 0.000
0.000 3.887 0.000
1.943 1.943 5.230
P Mg Li
2 1 2
Direct
0.394 0.394 0.212
0.606 0.606 0.788
0.000 0.000 0.000
0.750 0.250 0.500
0.250 0.750 0.500
```

Values from the calculation:
For the density, the calculation gives 2.1 g/cm³. The density of states at the Fermi level comes out at 0.278 states/eV per atom. The energy relative to the elements is -0.439 eV per atom.

Which formula does entry 2 have?
LiGdLuTl